[1]
# KRbPbSe2 PBE optimized geometry
# total moment: 0.00 μB/cell
# symmetry: No. 12
# formation energy (no corrections): -0.866 eV per atom
data_KRbPbSe2
_cell_length_a 9.2305
_cell_length_b 9.2305
_cell_length_c 10.9142
_cell_angle_alpha 101.24
_cell_angle_beta 101.24
_cell_angle_gamma 29.78
_space_group_name_H-M_alt 'P 1'
_space_group_IT_number 1
loop_
_space_group_symop_operation_xyz
'x,y,z'
loop_
_atom_site_label
_atom_site_type_symbol
_atom_site_fract_x
_atom_site_fract_y
_atom_site_fract_z
K1 K 0.1684 0.1684 0.0700
K2 K 0.8316 0.8316 0.9300
Rb1 Rb 0.1161 0.1161 0.6281
Rb2 Rb 0.8839 0.8839 0.3719
Pb1 Pb 0.4900 0.4900 0.8368
Pb2 Pb 0.5100 0.5100 0.1632
Se1 Se 0.0656 0.0656 0.3077
Se2 Se 0.3543 0.3543 0.1480
Se3 Se 0.6457 0.6457 0.8520
Se4 Se 0.9344 0.9344 0.6923

[2]
# Dy2TmPu PBE optimized geometry
# energy relative to the lowest polymorph listed for this composition: 0.006 eV per atom
# total moment: 6.05 μB/cell
# symmetry: No. 123
# formation energy: 0.097 eV per atom
data_Dy2TmPu
_cell_length_a 3.4738
_cell_length_b 3.4738
_cell_length_c 9.9669
_cell_angle_alpha 90.00
_cell_angle_beta 90.00
_cell_angle_gamma 90.00
_space_group_name_H-M_alt 'P 1'
_space_group_IT_number 1
loop_
_space_group_symop_operation_xyz
'x,y,z'
loop_
_atom_site_label
_atom_site_type_symbol
_atom_site_fract_x
_atom_site_fract_y
_atom_site_fract_z
Dy1 Dy 0.0000 0.0000 0.2471
Dy2 Dy 0.0000 0.0000 0.7529
Tm1 Tm 0.5000 0.5000 0.5000
Pu1 Pu 0.5000 0.5000 0.0000

[3]
# CsNaLi2Hg PBE optimized geometry
# total moment: 0.00 μB/cell
# symmetry: No. 123
# formation energy: -0.015 eV per atom
data_CsNaLi2Hg
_cell_length_a 5.5532
_cell_length_b 5.5532
_cell_length_c 6.0519
_cell_angle_alpha 90.00
_cell_angle_beta 90.00
_cell_angle_gamma 90.00
_space_group_name_H-M_alt 'P 1'
_space_group_IT_number 1
loop_
_space_group_symop_operation_xyz
'x,y,z'
loop_
_atom_site_label
_atom_site_type_symbol
_atom_site_fract_x
_atom_site_fract_y
_atom_site_fract_z
Cs1 Cs 0.0000 0.0000 0.0000
Na1 Na 0.5000 0.5000 0.0000
Li1 Li 0.0000 0.5000 0.5000
Li2 Li 0.5000 0.0000 0.5000
Hg1 Hg 0.5000 0.5000 0.5000